1.
Material: Li3ScF6
Method: DFT, meta-GGA SCAN
State: single point on PBEsol structure

a b c (Å): 8.7336 8.7336 9.3909
angles (deg): 90.00 90.00 120.00
Positions (direct):
F (0.1103, 0.5703, 0.6205)
F (0.8809, 0.1094, 0.8910)
F (0.2286, 0.1191, 0.8910)
F (0.1094, 0.8809, 0.6090)
F (0.5703, 0.4601, 0.3795)
F (0.2139, 0.4456, 0.3607)
F (0.8906, 0.7714, 0.8910)
F (0.4297, 0.5399, 0.6205)
F (0.1191, 0.2286, 0.6090)
F (0.5703, 0.1103, 0.8795)
F (0.4456, 0.2139, 0.1393)
F (0.8897, 0.4297, 0.3795)
F (0.7714, 0.8809, 0.1090)
F (0.4456, 0.2316, 0.6393)
F (0.8897, 0.4601, 0.8795)
F (0.5544, 0.7861, 0.8607)
F (0.7861, 0.2316, 0.1393)
F (0.5399, 0.1103, 0.3795)
F (0.1094, 0.2286, 0.1090)
F (0.7684, 0.2139, 0.6393)
F (0.2139, 0.7684, 0.8607)
F (0.7861, 0.5544, 0.6393)
F (0.1103, 0.5399, 0.1205)
F (0.4601, 0.5703, 0.1205)
F (0.7684, 0.5544, 0.1393)
F (0.8809, 0.7714, 0.3910)
F (0.7714, 0.8906, 0.6090)
F (0.2286, 0.1094, 0.3910)
F (0.8906, 0.1191, 0.3910)
F (0.5399, 0.4297, 0.8795)
F (0.4601, 0.8897, 0.6205)
F (0.2316, 0.7861, 0.3607)
F (0.2316, 0.4456, 0.8607)
F (0.1191, 0.8906, 0.1090)
F (0.4297, 0.8897, 0.1205)
F (0.5544, 0.7684, 0.3607)
Sc (0.0000, 0.0000, 0.0000)
Sc (0.6667, 0.3333, 0.2601)
Sc (0.6667, 0.3333, 0.7601)
Sc (0.0000, 0.0000, 0.5000)
Sc (0.3333, 0.6667, 0.7399)
Sc (0.3333, 0.6667, 0.2399)
Li (0.6590, 0.0159, 0.0349)
Li (0.0159, 0.3569, 0.9651)
Li (0.3034, 0.3034, 0.7500)
Li (0.6590, 0.6431, 0.5349)
Li (0.3569, 0.0159, 0.5349)
Li (0.6966, 0.6966, 0.2500)
Li (0.6966, 0.0000, 0.7500)
Li (0.3569, 0.3410, 0.0349)
Li (0.0000, 0.6966, 0.7500)
Li (0.6431, 0.9841, 0.4651)
Li (0.6431, 0.6590, 0.9651)
Li (0.3410, 0.3569, 0.4651)
Li (0.3034, 0.0000, 0.2500)
Li (0.9841, 0.6431, 0.0349)
Li (0.9841, 0.3410, 0.5349)
Li (0.0159, 0.6590, 0.4651)
Li (0.3410, 0.9841, 0.9651)
Li (0.0000, 0.3034, 0.2500)

## Properties
* uncorrected formation energy: -3.57 eV/atom
* SG: P-3c1

***

2.
Material: Mg2MnCl
Method: DFT, meta-GGA SCAN
State: single point on PBEsol structure

a b c (Å): 4.1323 4.1323 5.4239
angles (deg): 112.39 112.39 90.00
Positions (direct):
Mg (0.7500, 0.2500, 0.5000)
Mg (0.2500, 0.7500, 0.5000)
Mn (0.5000, 0.5000, 0.0000)
Cl (0.0000, 0.0000, 0.0000)

## Properties
* uncorrected formation energy: -0.02 eV/atom
* SG: I4/mmm

***

3.
Material: MgOsPb2
Method: DFT, meta-GGA SCAN
State: single point on PBEsol structure

a b c (Å): 3.2523 3.2523 8.3827
angles (deg): 90.00 90.00 90.00
Positions (direct):
Mg (0.0000, 0.0000, 0.5563)
Os (0.5000, 0.5000, 0.7277)
Pb (0.0000, 0.0000, 0.9312)
Pb (0.5000, 0.5000, 0.2848)

## Properties
* formation energy: 362 meV per atom
* SG: P4mm

***

4.
Material: Tl2CrRh
Method: DFT, meta-GGA SCAN
State: single point on PBEsol structure

a b c (Å): 3.0645 4.5417 6.2027
angles (deg): 111.48 104.30 90.00
Positions (direct):
Rh (0.2362, 0.7362, 0.4724)
Tl (0.7483, 0.2483, 0.4966)
Tl (0.9641, 0.9641, 0.9282)
Cr (0.5513, 0.5513, 0.1027)

## Properties
* formation energy: 231 meV per atom
* SG: Imm2

***

5.
Material: CaAl2In
Method: DFT, meta-GGA SCAN
State: single point on PBEsol structure

a b c (Å): 3.4690 5.1553 5.5634
angles (deg): 100.95 90.00 109.66
Positions (direct):
Al (0.2428, 0.4857, 0.2062)
Al (0.7572, 0.5143, 0.7938)
In (0.5000, 0.0000, 0.0000)
Ca (0.0000, 0.0000, 0.5000)

## Properties
* formation energy: -49 meV per atom
* SG: C2/m

***

6.
Material: CoOsAu2
Method: DFT, meta-GGA SCAN
State: single point on PBEsol structure

a b c (Å): 2.7084 2.7084 7.9408
angles (deg): 90.00 90.00 90.00
Positions (direct):
Co (0.5000, 0.5000, 0.0000)
Au (0.0000, 0.0000, 0.7628)
Au (0.0000, 0.0000, 0.2372)
Os (0.5000, 0.5000, 0.5000)

## Properties
* formation energy: 526 meV per atom
* SG: P4/mmm

***

7.
Material: MoSeBr2
Method: DFT, meta-GGA SCAN
State: single point on PBEsol structure

a b c (Å): 4.7066 4.7066 4.7066
angles (deg): 60.00 60.00 60.00
Positions (direct):
Br (0.7500, 0.7500, 0.7500)
Br (0.2500, 0.2500, 0.2500)
Mo (0.0000, 0.0000, 0.0000)
Se (0.5000, 0.5000, 0.5000)

## Properties
* uncorrected formation energy: 0.89 eV/atom
* SG: Fm-3m

***

8.
Material: AgRu2Br
Method: DFT, meta-GGA SCAN
State: single point on PBEsol structure

a b c (Å): 2.9302 4.5867 4.5867
angles (deg): 99.55 90.00 90.00
Positions (direct):
Ru (0.0000, 0.0000, 0.5000)
Ru (0.0000, 0.5000, 0.0000)
Br (0.5000, 0.5000, 0.5000)
Ag (0.5000, 0.0000, 0.0000)

## Properties
* uncorrected formation energy: 1.16 eV/atom
* SG: Cmmm

***

9.
Material: CaAgI3
Method: DFT, meta-GGA SCAN
State: single point on PBEsol structure

a b c (Å): 5.6275 5.6275 5.6275
angles (deg): 90.00 90.00 90.00
Positions (direct):
I (0.0000, 0.5000, 0.0000)
I (0.5000, 0.0000, 0.0000)
I (0.0000, 0.0000, 0.5000)
Ag (0.0000, 0.0000, 0.0000)
Ca (0.5000, 0.5000, 0.5000)

## Properties
* uncorrected formation energy: -0.61 eV/atom
* SG: Pm-3m

***

10.
Material: BeAlCdTe2
Method: DFT, meta-GGA SCAN
State: single point on PBEsol structure

a b c (Å): 4.4023 5.1289 5.1289
angles (deg): 90.00 90.00 90.00
Positions (direct):
Te (0.0000, 0.0000, 0.5000)
Te (0.0000, 0.5000, 0.0000)
Cd (0.5000, 0.5000, 0.5000)
Be (0.0000, 0.0000, 0.0000)
Al (0.5000, 0.0000, 0.0000)

## Properties
* uncorrected formation energy: 0.35 eV/atom
* SG: P4/mmm

***

11.
Material: KTa2Os
Method: DFT, meta-GGA SCAN
State: single point on PBEsol structure

a b c (Å): 2.9369 3.8396 8.4349
angles (deg): 90.00 90.00 90.00
Positions (direct):
Ta (0.0000, 0.0000, 0.6479)
Ta (0.0000, 0.0000, 0.3521)
Os (0.5000, 0.5000, 0.5000)
K (0.5000, 0.5000, 0.0000)

## Properties
* formation energy: 552 meV per atom
* SG: Pmmm

***

12.
Material: Li2Co
Method: DFT, meta-GGA SCAN
State: single point on PBEsol structure

a b c (Å): 4.2673 4.9248 4.9248
angles (deg): 79.18 64.33 64.33
Positions (direct):
Co (0.2500, 0.0000, 0.0000)
Co (0.7500, 0.0000, 0.0000)
Li (0.6675, 0.1651, 0.5000)
Li (0.8325, 0.5000, 0.8349)
Li (0.1675, 0.5000, 0.1651)
Li (0.3325, 0.8349, 0.5000)

## Properties
* formation energy: 293 meV per atom
* SG: I4/mcm

***

no.,energy (eV/cell)
1,-470.30
2,-36.27
3,-226.97
4,-195.95
5,-58.75
6,-225.39
7,-90.34
8,-115.85
9,-154.33
10,-115.25
11,-211.17
12,-42.41